DFT (PBE) results for a relaxed structure of Zn2PIr.

energy of formation: 0.13 eV per atom

abc: 2.7846 2.7846 9.2731
angles: 90.00 90.00 120.89
Atoms (fractional coordinates):
Zn1 0.0000 0.0000 0.9920
Zn2 0.5000 0.5000 0.7374
P1 0.5000 0.5000 0.2786
Ir1 0.0000 0.0000 0.4920

***

DFT (PBE) results for a relaxed structure of MgCoNi2.

energy of formation: 0.04 eV per atom

abc: 3.6973 3.6976 3.5816
angles: 90.00 90.00 90.00
Atoms (fractional coordinates):
Co1 0.5000 0.0000 0.5000
Mg1 0.0000 0.5000 0.5000
Ni1 0.0000 0.0000 0.0000
Ni2 0.5000 0.5000 0.0000

***

DFT (PBE) results for a relaxed structure of Pr2Sm8Cd.

offset from the most stable computed form: 0 meV per atom
energy of formation: -0.02 eV per atom

abc: 5.1220 6.2713 12.7511
angles: 76.99 90.00 114.10
Atoms (fractional coordinates):
Pr1 0.6861 0.3721 0.7373
Pr2 0.3139 0.6279 0.2627
Sm1 0.5889 0.1779 0.3611
Sm2 0.7554 0.5107 0.0874
Sm3 0.8615 0.7231 0.4517
Sm4 0.9632 0.9264 0.8249
Sm5 0.1385 0.2769 0.5483
Sm6 0.2446 0.4893 0.9126
Sm7 0.4111 0.8221 0.6389
Sm8 0.0368 0.0736 0.1751
Cd1 0.5000 0.0000 0.0000

***

DFT (PBE) results for a relaxed structure of Cu2Pd7Pt.

energy of formation: 0.50 eV per atom

abc: 4.0765 7.3147 7.3147
angles: 120.94 90.00 90.00
Atoms (fractional coordinates):
Cu1 0.5000 0.6938 0.3062
Cu2 0.5000 0.3062 0.6938
Pd1 0.0000 0.7945 0.2055
Pd2 0.0000 0.2055 0.7945
Pd3 0.5000 0.0759 0.2969
Pd4 0.5000 0.9241 0.7031
Pd5 0.5000 0.2969 0.0759
Pd6 0.5000 0.7031 0.9241
Pd7 0.5000 0.5000 0.5000
Pt1 0.0000 0.0000 0.0000

***

DFT (PBE) results for a relaxed structure of FePbAu2.

energy of formation: 0.31 eV per atom

abc: 5.2309 5.2309 5.2309
angles: 132.24 132.24 69.85
Atoms (fractional coordinates):
Au1 0.0000 0.0000 0.0000
Au2 0.5000 0.5000 0.0000
Fe1 0.2500 0.7500 0.5000
Pb1 0.7500 0.2500 0.5000

***

DFT (PBE) results for a relaxed structure of RbLi2ReO4.

uncorrected formation energy: -1.59 eV per atom

abc: 5.5512 5.5512 5.5512
angles: 88.09 121.11 121.11
Atoms (fractional coordinates):
Rb1 0.0000 0.0000 0.0000
Li1 0.5000 0.7500 0.2500
Li2 0.5000 0.2500 0.7500
Re1 0.0000 0.5000 0.5000
O1 0.0000 0.1635 0.5278
O2 0.6357 0.4722 0.4722
O3 0.3643 0.8365 0.8365
O4 0.0000 0.5278 0.1635

***

DFT (PBE) results for a relaxed structure of Ac3Zn6Rh5.

energy of formation: -0.52 eV per atom

abc: 4.2477 10.0095 12.9639
angles: 90.00 90.00 90.00
Atoms (fractional coordinates):
Ac1 0.0000 0.2435 0.6795
Ac2 0.5000 0.7565 0.1795
Ac3 0.5000 0.7565 0.8205
Ac4 0.0000 0.2645 0.0000
Ac5 0.5000 0.7355 0.5000
Ac6 0.0000 0.2435 0.3205
Zn1 0.0000 0.9928 0.8528
Zn2 0.5000 0.0072 0.6472
Zn3 0.5000 0.4166 0.8155
Zn4 0.5000 0.5408 0.0000
Zn5 0.0000 0.4592 0.5000
Zn6 0.0000 0.5834 0.6845
Zn7 0.0000 0.5834 0.3155
Zn8 0.5000 0.9880 0.0000
Zn9 0.0000 0.9928 0.1472
Zn10 0.5000 0.4166 0.1845
Zn11 0.0000 0.0120 0.5000
Zn12 0.5000 0.0072 0.3528
Rh1 0.0000 0.5402 0.8886
Rh2 0.0000 0.8573 0.6641
Rh3 0.0000 0.7995 0.0000
Rh4 0.5000 0.4598 0.6114
Rh5 0.5000 0.2005 0.5000
Rh6 0.0000 0.5402 0.1114
Rh7 0.5000 0.4598 0.3886
Rh8 0.0000 0.8573 0.3359
Rh9 0.5000 0.1427 0.8359
Rh10 0.5000 0.1427 0.1641

***

DFT (PBE) results for a relaxed structure of CaCe2PmN4.

uncorrected formation energy: -1.39 eV per atom

abc: 3.5869 6.1539 6.1969
angles: 70.59 90.00 90.00
Atoms (fractional coordinates):
Ca1 0.5000 0.5000 0.0000
Ce1 0.0000 0.0000 0.0000
Ce2 0.5000 0.0000 0.5000
Pm1 0.0000 0.5000 0.5000
N1 0.0000 0.7733 0.7377
N2 0.0000 0.2267 0.2623
N3 0.5000 0.7648 0.2490
N4 0.5000 0.2352 0.7510

***

DFT (PBE) results for a relaxed structure of FePt2.

energy of formation: 0.39 eV per atom

abc: 5.9127 5.9127 5.9127
angles: 90.00 90.00 90.00
Atoms (fractional coordinates):
Fe1 0.0000 0.0000 0.0000
Fe2 0.0000 0.5000 0.5000
Fe3 0.5000 0.0000 0.5000
Fe4 0.5000 0.5000 0.0000
Pt1 0.1277 0.6277 0.8723
Pt2 0.1277 0.8723 0.3723
Pt3 0.3723 0.1277 0.8723
Pt4 0.3723 0.3723 0.3723
Pt5 0.6277 0.6277 0.6277
Pt6 0.6277 0.8723 0.1277
Pt7 0.8723 0.1277 0.6277
Pt8 0.8723 0.3723 0.1277

***

DFT (PBE) results for a relaxed structure of Li4BH10N3.

E_tot: -325.47 eV/cell

abc: 9.1999 9.1999 9.1999
angles: 109.47 109.47 109.47
Atoms (fractional coordinates):
Li1 0.4687 0.7500 0.2187
Li2 0.7500 0.7187 0.9687
Li3 0.7187 0.4687 0.2500
Li4 0.0313 0.2500 0.2813
Li5 0.2500 0.7813 0.5313
Li6 0.7813 0.0313 0.7500
Li7 0.2315 0.7500 0.9815
Li8 0.7500 0.4815 0.7315
Li9 0.4815 0.2315 0.2500
Li10 0.2685 0.2500 0.5185
Li11 0.2500 0.0185 0.7685
Li12 0.0185 0.2685 0.7500
Li13 0.0333 0.0333 0.5333
Li14 0.0000 0.5000 0.9667
Li15 0.5000 0.4667 0.5000
Li16 0.4667 0.0000 0.0000
B1 0.7747 0.7747 0.2747
B2 0.0000 0.5000 0.2253
B3 0.5000 0.7253 0.5000
B4 0.7253 0.0000 0.0000
H1 0.4117 0.3010 0.9986
H2 0.3010 0.4986 0.9117
H3 0.4986 0.4117 0.8010
H4 0.8024 0.4131 0.5014
H5 0.0869 0.3893 0.5883
H6 0.1107 0.6976 0.6990
H7 0.6976 0.1990 0.6107
H8 0.4131 0.0014 0.3024
H9 0.3893 0.0883 0.5869
H10 0.0883 0.0869 0.8893
H11 0.1990 0.1107 0.1976
H12 0.0014 0.8024 0.9131
H13 0.5605 0.2621 0.9670
H14 0.2621 0.4670 0.0605
H15 0.4670 0.5605 0.7621
H16 0.7951 0.5935 0.5330
H17 0.9065 0.2016 0.4395
H18 0.2984 0.7049 0.7379
H19 0.7049 0.2379 0.7984
H20 0.5935 0.0330 0.2951
H21 0.2016 0.9395 0.4065
H22 0.9395 0.9065 0.7016
H23 0.2379 0.2984 0.2049
H24 0.0330 0.7951 0.0935
H25 0.8516 0.7359 0.3799
H26 0.7359 0.8799 0.3516
H27 0.8799 0.8516 0.2359
H28 0.8560 0.4717 0.1201
H29 0.0283 0.3843 0.1484
H30 0.1157 0.6440 0.2641
H31 0.6440 0.7641 0.6157
H32 0.4717 0.6201 0.3560
H33 0.3843 0.6484 0.5283
H34 0.6484 0.0283 0.8843
H35 0.7641 0.1157 0.1440
H36 0.6201 0.8560 0.9717
H37 0.6414 0.6414 0.1414
H38 0.0000 0.5000 0.3586
H39 0.5000 0.8586 0.5000
H40 0.8586 0.0000 0.0000
N1 0.4812 0.2365 0.0222
N2 0.2365 0.5222 0.9812
N3 0.5222 0.4812 0.7365
N4 0.7143 0.4590 0.4778
N5 0.0410 0.2552 0.5188
N6 0.2448 0.7857 0.7635
N7 0.7857 0.2635 0.7448
N8 0.4590 0.9778 0.2143
N9 0.2552 0.0188 0.5410
N10 0.0188 0.0410 0.7552
N11 0.2635 0.2448 0.2857
N12 0.9778 0.7143 0.9590

***

DFT (PBE) results for a relaxed structure of TbZrMn17.

energy of formation: -0.01 eV per atom

abc: 6.2729 6.2729 6.2729
angles: 86.18 86.18 86.18
Atoms (fractional coordinates):
Tb1 0.3558 0.3558 0.3558
Zr1 0.6451 0.6451 0.6451
Mn1 0.2767 0.9984 0.7245
Mn2 0.7245 0.2767 0.9984
Mn3 0.9984 0.7245 0.2767
Mn4 0.2767 0.7245 0.9984
Mn5 0.9984 0.2767 0.7245
Mn6 0.7245 0.9984 0.2767
Mn7 0.3602 0.8723 0.3602
Mn8 0.3602 0.3602 0.8723
Mn9 0.8723 0.3602 0.3602
Mn10 0.6434 0.1230 0.6434
Mn11 0.6434 0.6434 0.1230
Mn12 0.1230 0.6434 0.6434
Mn13 0.9996 0.5006 0.9996
Mn14 0.9996 0.9996 0.5006
Mn15 0.5006 0.9996 0.9996
Mn16 0.8982 0.8982 0.8982
Mn17 0.0992 0.0992 0.0992

***

DFT (PBE) results for a relaxed structure of Cs2Ce3Se6.

uncorrected formation energy: -1.71 eV per atom

abc: 7.5303 7.5301 8.8718
angles: 81.87 73.58 60.00
Atoms (fractional coordinates):
Cs1 0.1667 0.6665 0.5000
Cs2 0.8333 0.3335 0.5000
Ce1 0.0000 0.0000 0.0000
Ce2 0.3338 0.3324 0.0000
Ce3 0.6662 0.6676 0.0000
Se1 0.3940 0.6653 0.8178
Se2 0.7288 0.0000 0.8177
Se3 0.0593 0.3347 0.8178
Se4 0.2712 0.0000 0.1823
Se5 0.6060 0.3347 0.1822
Se6 0.9407 0.6653 0.1822